A plane-wave DFT calculation with GGA-PBEsol was carried out for PWCl2 after structural relaxation.

Structure (CIF):
```
data_PWCl2
_chemical_formula_sum 'P1 W1 Cl2'
_cell_length_a 7.3860
_cell_length_b 7.3860
_cell_length_c 7.3860
_cell_angle_alpha 156.97
_cell_angle_beta 148.24
_cell_angle_gamma 39.60
_space_group_name_H-M_alt 'P 1'
_space_group_IT_number 1
loop_
_space_group_symop_operation_xyz
'x,y,z'
loop_
_atom_site_label
_atom_site_fract_x
_atom_site_fract_y
_atom_site_fract_z
P1 0.0000 0.0000 0.0000
W1 0.5000 0.5000 0.0000
Cl1 0.3525 0.8525 0.5000
Cl2 0.6475 0.1475 0.5000
```

Output
For the excess energy over the best structure of this formula in the dataset, the calculation gives 0.108 eV per atom. The total magnetization is 0.00 μB per atom. The value obtained for the density of states at the Fermi level is 1.26 states/eV/f.u. Its space group is No. 71. The calculated total energy is -6.000 eV/atom. The calculation puts the uncorrected formation energy at -96 meV per atom.

---

A plane-wave DFT calculation with GGA-PBEsol was carried out for PW6Cl17 after structural relaxation.

Structure (CIF):
```
data_PW6Cl17
_chemical_formula_sum 'P1 W6 Cl17'
_cell_length_a 10.1623
_cell_length_b 10.1623
_cell_length_c 10.1623
_cell_angle_alpha 141.35
_cell_angle_beta 74.57
_cell_angle_gamma 119.02
_space_group_name_H-M_alt 'P 1'
_space_group_IT_number 1
loop_
_space_group_symop_operation_xyz
'x,y,z'
loop_
_atom_site_label
_atom_site_fract_x
_atom_site_fract_y
_atom_site_fract_z
P1 0.0000 0.0000 0.0000
W1 0.0851 0.9444 0.1407
W2 0.1168 0.1964 0.9204
W3 0.2759 0.1964 0.0796
W4 0.8038 0.0078 0.2041
W5 0.8038 0.5997 0.7959
W6 0.8037 0.9444 0.8593
Cl1 0.1888 0.3646 0.8242
Cl2 0.2361 0.9528 0.2833
Cl3 0.2453 0.3692 0.4222
Cl4 0.2453 0.8231 0.8761
Cl5 0.3203 0.0780 0.7577
Cl6 0.3203 0.5626 0.2423
Cl7 0.5404 0.3646 0.1758
Cl8 0.6133 0.6133 0.0000
Cl9 0.6292 0.0162 0.0958
Cl10 0.6292 0.5334 0.6130
Cl11 0.6483 0.1483 0.5000
Cl12 0.6696 0.9528 0.7167
Cl13 0.9204 0.0162 0.3870
Cl14 0.9204 0.5334 0.9042
Cl15 0.9440 0.4440 0.5000
Cl16 0.9470 0.3692 0.1239
Cl17 0.9470 0.8231 0.5778
```

Output
The total magnetization is 0.02 μB per atom. The value obtained for the density of states at the Fermi level is 6.50 states/eV/f.u. Its space group is No. 44. The calculated total energy is -5.923 eV/atom. The calculation puts the uncorrected formation energy at -808 meV per atom.

---

A plane-wave DFT calculation with GGA-PBEsol was carried out for PWCl2 after structural relaxation.

Structure (CIF):
```
data_PWCl2
_chemical_formula_sum 'P1 W1 Cl2'
_cell_length_a 4.9063
_cell_length_b 4.9063
_cell_length_c 2.8143
_cell_angle_alpha 90.00
_cell_angle_beta 90.00
_cell_angle_gamma 111.81
_space_group_name_H-M_alt 'P 1'
_space_group_IT_number 1
loop_
_space_group_symop_operation_xyz
'x,y,z'
loop_
_atom_site_label
_atom_site_fract_x
_atom_site_fract_y
_atom_site_fract_z
P1 0.0000 0.0000 0.0000
W1 0.5000 0.5000 0.0000
Cl1 0.0000 0.5000 0.5000
Cl2 0.5000 0.0000 0.5000
```

Output
For the excess energy over the best structure of this formula in the dataset, the calculation gives 1.257 eV per atom. The total magnetization is 0.00 μB per atom. The value obtained for the density of states at the Fermi level is 3.27 states/eV/f.u. Its space group is No. 65. The calculated total energy is -4.851 eV/atom. The calculation puts the uncorrected formation energy at 1053 meV per atom.

---

A plane-wave DFT calculation with GGA-PBEsol was carried out for PW2Cl after structural relaxation.

Structure (CIF):
```
data_PW2Cl
_chemical_formula_sum 'P1 W2 Cl1'
_cell_length_a 4.7309
_cell_length_b 4.7309
_cell_length_c 4.7309
_cell_angle_alpha 130.86
_cell_angle_beta 130.86
_cell_angle_gamma 72.04
_space_group_name_H-M_alt 'P 1'
_space_group_IT_number 1
loop_
_space_group_symop_operation_xyz
'x,y,z'
loop_
_atom_site_label
_atom_site_fract_x
_atom_site_fract_y
_atom_site_fract_z
P1 0.0000 0.0000 0.0000
W1 0.5000 0.5000 0.0000
W2 0.7500 0.2500 0.5000
Cl1 0.2500 0.7500 0.5000
```

Output
The total magnetization is 0.00 μB per atom. The value obtained for the density of states at the Fermi level is 3.24 states/eV/f.u. Its space group is No. 119. The calculated total energy is -8.030 eV/atom. The calculation puts the uncorrected formation energy at 823 meV per atom.

---

A plane-wave DFT calculation with GGA-PBEsol was carried out for PWCl2 after structural relaxation.

Structure (CIF):
```
data_PWCl2
_chemical_formula_sum 'P1 W1 Cl2'
_cell_length_a 7.0175
_cell_length_b 7.0175
_cell_length_c 3.0635
_cell_angle_alpha 90.00
_cell_angle_beta 90.00
_cell_angle_gamma 141.06
_space_group_name_H-M_alt 'P 1'
_space_group_IT_number 1
loop_
_space_group_symop_operation_xyz
'x,y,z'
loop_
_atom_site_label
_atom_site_fract_x
_atom_site_fract_y
_atom_site_fract_z
P1 0.0000 0.0000 0.0000
W1 0.5000 0.5000 0.0000
Cl1 0.3576 0.6424 0.5000
Cl2 0.6424 0.3576 0.5000
```

Output
For the excess energy over the best structure of this formula in the dataset, the calculation gives 0.000 eV per atom. The total magnetization is 0.00 μB per atom. The value obtained for the density of states at the Fermi level is 1.74 states/eV/f.u. Its space group is No. 65. The calculated total energy is -6.108 eV/atom. The calculation puts the uncorrected formation energy at -204 meV per atom.

---

A plane-wave DFT calculation with GGA-PBEsol was carried out for ZrP2WCl after structural relaxation.

Structure (CIF):
```
data_ZrP2WCl
_chemical_formula_sum 'Zr1 P2 W1 Cl1'
_cell_length_a 4.6753
_cell_length_b 4.6753
_cell_length_c 4.5393
_cell_angle_alpha 90.00
_cell_angle_beta 90.00
_cell_angle_gamma 90.00
_space_group_name_H-M_alt 'P 1'
_space_group_IT_number 1
loop_
_space_group_symop_operation_xyz
'x,y,z'
loop_
_atom_site_label
_atom_site_fract_x
_atom_site_fract_y
_atom_site_fract_z
Zr1 0.0000 0.0000 0.0000
P1 0.0000 0.5000 0.5000
P2 0.5000 0.0000 0.5000
W1 0.5000 0.5000 0.5000
Cl1 0.5000 0.5000 0.0000
```

Output
The total magnetization is 0.21 μB per atom. The value obtained for the density of states at the Fermi level is 5.57 states/eV/f.u. Its space group is No. 123. The calculated total energy is -6.888 eV/atom. The calculation puts the uncorrected formation energy at 410 meV per atom.

---

A plane-wave DFT calculation with GGA-PBEsol was carried out for YP2Cl after structural relaxation.

Structure (CIF):
```
data_YP2Cl
_chemical_formula_sum 'Y1 P2 Cl1'
_cell_length_a 4.1544
_cell_length_b 3.4920
_cell_length_c 6.5841
_cell_angle_alpha 90.00
_cell_angle_beta 90.12
_cell_angle_gamma 90.00
_space_group_name_H-M_alt 'P 1'
_space_group_IT_number 1
loop_
_space_group_symop_operation_xyz
'x,y,z'
loop_
_atom_site_label
_atom_site_fract_x
_atom_site_fract_y
_atom_site_fract_z
Y1 0.0000 0.0000 0.0000
P1 0.4981 0.0000 0.6718
P2 0.4996 0.5000 0.8789
Cl1 0.0013 0.5000 0.3057
```

Output
For the excess energy over the best structure of this formula in the dataset, the calculation gives 0.000 eV per atom. The total magnetization is 0.00 μB per atom. The value obtained for the density of states at the Fermi level is 0.30 states/eV/f.u. Its space group is No. 6. The calculated total energy is -6.135 eV/atom. The calculation puts the uncorrected formation energy at -1032 meV per atom.

---

A plane-wave DFT calculation with GGA-PBEsol was carried out for YPCl2 after structural relaxation.

Structure (CIF):
```
data_YPCl2
_chemical_formula_sum 'Y1 P1 Cl2'
_cell_length_a 5.0349
_cell_length_b 5.0349
_cell_length_c 6.2919
_cell_angle_alpha 99.94
_cell_angle_beta 99.94
_cell_angle_gamma 44.52
_space_group_name_H-M_alt 'P 1'
_space_group_IT_number 1
loop_
_space_group_symop_operation_xyz
'x,y,z'
loop_
_atom_site_label
_atom_site_fract_x
_atom_site_fract_y
_atom_site_fract_z
Y1 0.0000 0.0000 0.0000
P1 0.7108 0.7108 0.0711
Cl1 0.3689 0.3689 0.7279
Cl2 0.5831 0.5831 0.3309
```

Output
For the excess energy over the best structure of this formula in the dataset, the calculation gives 0.000 eV per atom. The total magnetization is 0.00 μB per atom. Its space group is No. 8. The calculated total energy is -5.348 eV/atom. The calculation puts the uncorrected formation energy at -1191 meV per atom.